1.
Entry from Alexandria via LeMat-Bulk: crystalline KZnSe2 at its relaxed geometry (GGA-PBE).

Geometry as POSCAR:
```
KZnSe2
1.0
-2.932 -0.346 -2.761
-1.486 -4.069 2.087
-2.958 2.529 2.824
Se Zn K
2 1 1
Cartesian
-2.222 -0.770 2.455
0.000 0.000 0.000
-2.209 -2.207 -0.337
-2.945 1.091 0.031
```



2.
Entry from Alexandria via LeMat-Bulk: crystalline CaLaBi2 at its relaxed geometry (GGA-PBE).

Summary:
The value obtained for the offset from the most stable computed form is 10 meV per atom. As for the formation energy: -0.799 eV per atom.

Geometry as POSCAR:
```
CaLaBi2
1.0
6.583 0.584 0.000
0.584 6.586 0.000
0.000 0.000 13.304
Bi Ca La
8 4 4
Cartesian
1.791 1.793 13.299
2.079 5.088 9.981
5.375 5.378 6.656
1.793 1.791 6.647
5.088 2.082 3.323
2.089 5.083 3.329
5.079 2.087 9.975
5.377 5.376 0.005
1.796 1.790 3.321
5.380 5.375 3.331
5.371 5.380 9.983
1.787 1.795 9.973
2.085 5.086 0.003
5.083 2.083 13.301
2.083 5.084 6.655
5.084 2.086 6.649
```



3.
Entry from Alexandria via LeMat-Bulk: crystalline Mn2Nb2GeRu5 at its relaxed geometry (GGA-PBE).

Summary:
As for the formation energy: -0.012 eV per atom.

Geometry as POSCAR:
```
Mn2Nb2GeRu5
1.0
3.719 0.000 0.000
0.000 8.883 0.000
0.000 0.000 8.883
Ge Ru Nb Mn
2 10 4 4
Cartesian
0.000 4.441 4.441
0.000 0.000 0.000
1.860 1.797 0.645
1.860 7.086 8.237
1.860 0.645 7.086
1.860 2.645 5.087
1.860 4.441 0.000
1.860 5.087 6.238
1.860 3.796 2.645
1.860 8.237 1.797
1.860 0.000 4.441
1.860 6.238 3.796
0.000 7.402 5.922
0.000 1.481 2.960
0.000 5.922 1.481
0.000 2.960 7.402
0.000 3.264 1.178
0.000 5.619 7.705
0.000 7.705 3.264
0.000 1.178 5.619
```



4.
Entry from Alexandria via LeMat-Bulk: crystalline LiBi2Os at its relaxed geometry (GGA-PBE).

Summary:
As for the formation energy: 0.630 eV per atom.

Geometry as POSCAR:
```
LiBi2Os
1.0
6.756 0.000 0.000
0.000 6.756 0.000
3.378 3.378 5.629
Bi Os Li
4 2 2
Cartesian
1.431 5.067 1.407
5.326 1.689 1.407
5.067 4.809 4.222
8.445 8.704 4.222
6.756 3.378 2.814
0.000 0.000 0.000
3.378 3.378 0.000
3.378 6.756 2.814
```



5.
Entry from Alexandria via LeMat-Bulk: crystalline MnHN at its relaxed geometry (GGA-PBE).

Summary:
The value obtained for the offset from the most stable computed form is 0 meV per atom.

Geometry as POSCAR:
```
MnHN
1.0
-2.390 1.638 0.599
-2.549 -1.468 -6.157
-6.130 -10.810 5.115
Mn N H
12 12 12
Cartesian
-4.135 -2.015 -0.026
-7.675 -6.398 -2.160
-3.393 -4.242 1.717
-6.390 -5.671 0.979
-4.679 -4.968 -1.423
-8.456 -9.290 2.633
-5.284 -2.527 -3.210
-1.370 -0.647 -0.042
-6.933 -8.624 -0.417
-2.612 -1.349 -3.077
-5.784 -8.112 2.766
-9.698 -9.992 -0.402
-3.712 -2.491 -4.341
-3.838 -2.285 1.899
-3.637 -3.873 -0.262
-9.535 -10.424 1.433
-4.244 -1.487 -1.905
-5.728 -6.099 -2.518
-1.533 -0.215 -1.876
-7.431 -6.766 -0.181
-6.824 -9.152 1.461
-5.340 -4.540 2.074
-7.230 -8.354 -2.342
-7.357 -8.148 3.898
-2.337 -2.018 -0.150
-6.793 -6.717 2.231
-5.079 -6.038 -0.094
-9.036 -11.503 -0.934
-5.311 -6.944 1.459
-2.032 0.864 0.490
-8.731 -8.621 -0.294
-4.275 -3.922 -2.675
-5.757 -3.695 -1.902
-3.100 -0.524 0.023
-5.989 -4.601 -0.350
-7.968 -10.115 -0.466
```



6.
Entry from Alexandria via LeMat-Bulk: crystalline Ta5Mo at its relaxed geometry (GGA-PBE).

Summary:
The value obtained for the offset from the most stable computed form is 12 meV per atom. As for the formation energy: -0.061 eV per atom.

Geometry as POSCAR:
```
Ta5Mo
1.0
-0.918 3.171 3.271
-3.269 -3.055 -1.257
1.831 -3.611 4.015
Ta Mo
5 1
Cartesian
-1.075 -0.139 3.135
-1.281 -3.356 2.894
0.915 -1.806 2.007
-2.198 -1.546 0.883
-0.158 -1.949 5.146
0.000 0.000 0.000
```



| no. | mass density (g/cm3) | DOS at the Fermi energy (states/eV/f.u.) | raw total energy (eV/cell) |
| --- | --- | --- | --- |
| 1 | 4.7 | 2.2 | -10.02 |
| 2 | 6.9 | 2.6 | -71.54 |
| 3 | 9.9 | 10.3 | -179.19 |
| 4 | 8.0 | 2.2 | -36.77 |
| 5 | 5.1 | 0.9 | -249.67 |
| 6 | 15.6 | 7.9 | -70.46 |